VASP calculation (PBE) on a relaxed Na3LaRh crystal.

Properties
SG = No. 160
VASP energy = -3.178 eV/atom
ΔH_f (0 K) = 0.069 eV/atom
Magnetic moment = 0.00 μB per atom

Unit cell a=5.5756 b=5.5756 c=5.5756 alpha=98.24 beta=98.24 gamma=98.24
Fractional coordinates of all 5 atoms:
Na  0.0181  0.6185  0.6185
Na  0.6185  0.0181  0.6185
Na  0.6185  0.6185  0.0181
Rh  0.4488  0.4488  0.4488
La  0.1711  0.1711  0.1711